A relaxed TcHg3O4 crystal. Source: the Alexandria database, functional PBE-GGA. Values from VASP.

Cell and atoms, written as Quantum ESPRESSO input:
```
&SYSTEM
  ibrav = 0, nat = 16, ntyp = 3
/
ATOMIC_SPECIES
O 16.00 O.upf
Tc 98.00 Tc.upf
Hg 200.59 Hg.upf
CELL_PARAMETERS angstrom
-3.232 1.479 -3.858
-4.914 -3.132 2.916
-2.221 8.111 4.969
ATOMIC_POSITIONS angstrom
O -8.508 5.611 3.085
O -5.080 -0.369 1.487
O -2.944 0.992 0.220
O -5.366 0.560 -1.161
O -5.834 6.438 4.363
O -5.730 7.381 1.436
O -3.170 2.087 -3.101
O -3.016 7.680 3.166
Tc -5.253 8.908 0.716
Tc -4.242 -0.159 -0.040
Hg -7.637 1.950 0.030
Hg -4.253 5.289 2.041
Hg -6.786 3.675 3.544
Hg -3.917 3.609 4.556
Hg -5.257 3.467 -1.382
Hg -7.389 0.589 2.740
```

Values from the calculation:
- energy relative to the elements, uncorrected (eV/atom) = -0.79
- V (Å³ per atom) = 20.86
- N(E_F) (states/eV/cell) = 1.4